# 1
K2YPb | PBE-GGA | optimized geometry

The space group is Cmmm (No. 65) and the conventional cell measures 6.614, 12.677 and 3.766 Å, with angles of 90.00, 90.00 and 90.00 degrees. Symmetry generates all atoms from K at (0.250, 0.250, 0.000), Y at (0.000, 0.000, 0.500) and Pb at (0.000, 0.500, 0.500).

As for the size of the total moment: 0.88 μB/f.u. The calculation puts the formation energy at 231 meV per atom. The energy is -22.886 eV for the cell shown. The value obtained for the density of states at the Fermi level is 0.9189 states/eV per atom.


# 2
RbPtS3 | PBE-GGA | optimized geometry

The space group is Pm-3m (No. 221) and the conventional cell measures 5.421, 5.421 and 5.421 Å, with angles of 90.00, 90.00 and 90.00 degrees. Symmetry generates all atoms from Rb at (0.000, 0.000, 0.000), Pt at (0.500, 0.500, 0.500) and S at (0.000, 0.000, 0.500).

As for the size of the total moment: 0.31 μB/f.u. The formation energy (no corrections) is 10.27 eV per formula unit. The energy is -9.124 eV for the cell shown. The value obtained for the density of states at the Fermi level is 3.1289 states/eV per atom.


# 3
Rb2ZrI5Cl | PBE-GGA | optimized geometry

The space group is I4mm (No. 107) and the conventional cell measures 8.421, 8.421 and 11.256 Å, with angles of 90.00, 90.00 and 90.00 degrees. Symmetry generates all atoms from Rb at (0.000, 0.500, 0.000), Zr at (0.000, 0.000, 0.246), I at (0.000, 0.000, 0.502), I at (0.243, 0.243, 0.251) and Cl at (0.000, 0.000, 0.029).

As for the size of the total moment: 0.00 μB/f.u. The formation energy (no corrections) is -11.82 eV per formula unit. The energy is -63.792 eV for the cell shown. The value obtained for the density of states at the Fermi level is 0.0000 states/eV per atom.


# 4
PmTmSbO2 | PBE-GGA | optimized geometry

The space group is I4mm (No. 107) and the conventional cell measures 3.882, 3.882 and 13.470 Å, with angles of 90.00, 90.00 and 90.00 degrees. Symmetry generates all atoms from Pm at (0.000, 0.000, 0.000), Tm at (0.000, 0.000, 0.331), Sb at (0.000, 0.000, 0.667) and O at (0.000, 0.500, 0.408).

As for the size of the total moment: 0.00 μB/f.u. The formation energy (no corrections) is -13.39 eV per formula unit. The energy is -73.305 eV for the cell shown. The value obtained for the density of states at the Fermi level is 0.2782 states/eV per atom.


# 5
Ho4CdAu7 | PBE-GGA | optimized geometry

The space group is C2/m (No. 12) and the conventional cell measures 14.195, 5.206 and 8.977 Å, with angles of 90.00, 123.94 and 90.00 degrees. Symmetry generates all atoms from Ho at (0.062, 0.000, 0.240), Ho at (0.240, 0.000, 0.758), Cd at (0.000, 0.500, 0.500), Au at (0.000, 0.000, 0.500), Au at (0.066, 0.500, 0.869), Au at (0.187, 0.000, 0.056) and Au at (0.193, 0.500, 0.490).

As for the size of the total moment: 0.00 μB/f.u. The calculation puts the formation energy at -635 meV per atom. The energy is -99.565 eV for the cell shown. The value obtained for the density of states at the Fermi level is 0.6115 states/eV per atom.


# 6
Pm2GaGe2Rh5 | PBE-GGA | optimized geometry

The space group is P4/mbm (No. 127) and the conventional cell measures 9.899, 9.899 and 3.565 Å, with angles of 90.00, 90.00 and 90.00 degrees. Symmetry generates all atoms from Pm at (0.175, 0.325, 0.000), Ga at (0.000, 0.000, 0.000), Ge at (0.124, 0.624, 0.000), Rh at (0.000, 0.500, 0.500) and Rh at (0.065, 0.793, 0.500).

As for the size of the total moment: 0.00 μB/f.u. The calculation puts the formation energy at -742 meV per atom. The energy is -131.873 eV for the cell shown. The value obtained for the density of states at the Fermi level is 0.3587 states/eV per atom.


# 7
MnSiP2 | PBE-GGA | optimized geometry

The space group is Pmmm (No. 47) and the conventional cell measures 3.375, 3.430 and 5.193 Å, with angles of 90.00, 90.00 and 90.00 degrees. Symmetry generates all atoms from Mn at (0.000, 0.000, 0.000), Si at (0.000, 0.500, 0.500), P at (0.500, 0.000, 0.500) and P at (0.500, 0.500, 0.000).

As for the size of the total moment: 3.33 μB/f.u. The formation energy (no corrections) is 1.17 eV per formula unit. The energy is -24.243 eV for the cell shown. The value obtained for the density of states at the Fermi level is 0.4453 states/eV per atom.


# 8
SrMn4Fe | PBE-GGA | optimized geometry

The space group is F-43m (No. 216) and the conventional cell measures 7.131, 7.131 and 7.131 Å, with angles of 90.00, 90.00 and 90.00 degrees. Symmetry generates all atoms from Sr at (0.000, 0.000, 0.000), Mn at (0.122, 0.122, 0.378) and Fe at (0.250, 0.250, 0.750).

As for the size of the total moment: 10.55 μB/f.u. The calculation puts the formation energy at 775 meV per atom. The energy is -168.689 eV for the cell shown. The value obtained for the density of states at the Fermi level is 1.8680 states/eV per atom.


# 9
Mg3Ag7Hg2 | PBE-GGA | optimized geometry

The space group is P-1 (No. 2) and the conventional cell measures 5.161, 6.052 and 7.831 Å, with angles of 112.70, 90.38 and 90.11 degrees. Symmetry generates all atoms from Mg at (0.000, 0.000, 0.000), Mg at (0.327, 0.671, 0.343), Ag at (0.000, 0.500, 0.000), Ag at (0.165, 0.083, 0.666), Ag at (0.165, 0.584, 0.666), Ag at (0.328, 0.170, 0.340) and Hg at (0.498, 0.251, 0.001).

As for the size of the total moment: 0.00 μB/f.u. The calculation puts the formation energy at -128 meV per atom. The energy is -26.882 eV for the cell shown. The value obtained for the density of states at the Fermi level is 0.3405 states/eV per atom.


# 10
Nd2SmPuTe5 | PBE-GGA | optimized geometry

The space group is P4/mmm (No. 123) and the conventional cell measures 5.618, 5.618 and 11.868 Å, with angles of 90.00, 90.00 and 90.00 degrees. Symmetry generates all atoms from Nd at (0.000, 0.000, 0.162), Sm at (0.500, 0.500, 0.000), Pu at (0.500, 0.500, 0.500), Te at (0.000, 0.000, 0.500), Te at (0.000, 0.500, 0.000) and Te at (0.500, 0.500, 0.250).

As for the size of the total moment: 6.35 μB/f.u. The formation energy (no corrections) is -6.10 eV per formula unit. The energy is -50.395 eV for the cell shown. The value obtained for the density of states at the Fermi level is 2.3167 states/eV per atom.


# 11
NaInTe2 | PBE-GGA | optimized geometry

The space group is Cm (No. 8) and the conventional cell measures 17.256, 4.518 and 7.718 Å, with angles of 90.00, 99.52 and 90.00 degrees. Symmetry generates all atoms from Na at (0.000, 0.000, 0.000), Na at (0.224, 0.000, 0.312), In at (0.140, 0.500, 0.639), In at (0.441, 0.000, 0.363), Te at (0.092, 0.500, 0.253), Te at (0.237, 0.000, 0.735), Te at (0.353, 0.500, 0.204) and Te at (0.488, 0.000, 0.727).

As for the size of the total moment: 0.00 μB/f.u. The formation energy (no corrections) is -2.26 eV per formula unit. The energy is -50.401 eV for the cell shown. The value obtained for the density of states at the Fermi level is 0.0000 states/eV per atom.


- energy of number 3 (Rb2ZrI5Cl)?
  -63.792 eV for the cell shown